Material: NbAlAuS2
Method: DFT, SCAN
State: single point on PBEsol structure

Structure (POSCAR):
```
NbAlAuS2
1.0
-3.361 2.750 2.088
-3.389 -2.071 -2.728
-0.639 -3.266 3.273
Nb Au S Al
1 1 2 1
Cartesian
-3.694 -1.294 1.317 Nb
0.000 0.000 0.000 Au
-1.695 -1.035 -1.364 S
-1.680 1.375 1.044 S
-0.319 -1.633 1.636 Al
```

**D(E_F)**: 3.3 states/eV/f.u.
**VASP energy**: -25.03 eV per atom